The following is a DFT calculation (PBE+U) of crystalline CaY2MoO at its relaxed geometry.

Summary:
E_tot: -26.13 eV for the cell shown
Space-group type: No. 123

a b c (Å): 6.0119 3.9226 6.0119
angles (deg): 90.00 90.00 90.00
Last column: nearest neighbours and their distance in Å.
Sites, in units of the cell vectors:
Y 0.0000 0.0000 0.5000  2 Mo 3.01
Mo 0.0000 0.0000 0.0000  2 O 1.96
Y 0.5000 0.0000 0.0000  2 Mo 3.01
O 0.0000 0.5000 0.0000  2 Mo 1.96
Ca 0.5000 0.5000 0.5000  8 Y 3.59, 2 Ca 3.92